(1)
Entry from the Alexandria database: a relaxed SnHI2N crystal (PBE).

It has space group P4/mmm (No. 123), with a = 5.984 Å, b = 5.984 Å, c = 4.172 Å, α = 90.00°, β = 90.00° and γ = 90.00°. The inequivalent atoms are Sn at (0.000, 0.000, 0.000), H at (0.500, 0.500, 0.500), I at (0.000, 0.500, 0.000) and N at (0.000, 0.000, 0.500).

The calculation puts the excess energy over the best structure of this formula in the dataset at 57 meV/atom. As for the total energy: -13.92 eV per cell.

(2)
Entry from the Alexandria database: a relaxed SnHI2N crystal (PBE).

It has space group P4/mmm (No. 123), with a = 6.665 Å, b = 6.665 Å, c = 2.954 Å, α = 90.00°, β = 90.00° and γ = 90.00°. The inequivalent atoms are Sn at (0.000, 0.000, 0.000), H at (0.500, 0.500, 0.500), I at (0.000, 0.500, 0.500) and N at (0.500, 0.500, 0.000).

The calculation puts the excess energy over the best structure of this formula in the dataset at 0 meV/atom. As for the total energy: -14.20 eV per cell.

(3)
Entry from the Alexandria database: a relaxed SnH4I3N crystal (PBE).

It has space group Pnma (No. 62), with a = 10.661 Å, b = 4.751 Å, c = 18.677 Å, α = 90.00°, β = 90.00° and γ = 90.00°. The inequivalent atoms are Sn at (0.149, 0.250, 0.070), H at (0.037, 0.250, 0.652), H at (0.055, 0.574, 0.286), H at (0.075, 0.250, 0.740), I at (0.058, 0.250, 0.902), I at (0.160, 0.250, 0.534), I at (0.225, 0.250, 0.234) and N at (0.001, 0.250, 0.704).

As for the total energy: -139.08 eV per cell.

(4)
Entry from the Alexandria database: a relaxed SrHIN2 crystal (PBE).

It has space group P4/mmm (No. 123), with a = 4.860 Å, b = 4.860 Å, c = 3.794 Å, α = 90.00°, β = 90.00° and γ = 90.00°. The inequivalent atoms are Sr at (0.000, 0.000, 0.000), H at (0.500, 0.500, 0.500), I at (0.500, 0.500, 0.000) and N at (0.000, 0.500, 0.500).

The calculation puts the excess energy over the best structure of this formula in the dataset at 0 meV/atom. As for the total energy: -17.20 eV per cell.

(5)
Entry from the Alexandria database: a relaxed SrHIN2 crystal (PBE).

It has space group P4/mmm (No. 123), with a = 5.252 Å, b = 5.252 Å, c = 6.457 Å, α = 90.00°, β = 90.00° and γ = 90.00°. The inequivalent atoms are Sr at (0.000, 0.000, 0.000), H at (0.500, 0.500, 0.500), I at (0.000, 0.000, 0.500) and N at (0.000, 0.500, 0.000).

The calculation puts the excess energy over the best structure of this formula in the dataset at 273 meV/atom. As for the total energy: -15.84 eV per cell.

(6)
Entry from the Alexandria database: a relaxed TaHIN2 crystal (PBE).

It has space group P4/mmm (No. 123), with a = 3.953 Å, b = 3.953 Å, c = 5.961 Å, α = 90.00°, β = 90.00° and γ = 90.00°. The inequivalent atoms are Ta at (0.000, 0.000, 0.000), H at (0.500, 0.500, 0.500), I at (0.000, 0.000, 0.500) and N at (0.000, 0.500, 0.000).

The calculation puts the excess energy over the best structure of this formula in the dataset at 0 meV/atom. As for the total energy: -30.19 eV per cell.

(7)
Entry from the Alexandria database: a relaxed TaHI2N crystal (PBE).

It has space group P4/mmm (No. 123), with a = 5.695 Å, b = 5.695 Å, c = 3.917 Å, α = 90.00°, β = 90.00° and γ = 90.00°. The inequivalent atoms are Ta at (0.000, 0.000, 0.000), H at (0.500, 0.500, 0.500), I at (0.000, 0.500, 0.000) and N at (0.000, 0.000, 0.500).

The calculation puts the excess energy over the best structure of this formula in the dataset at 0 meV/atom. As for the total energy: -24.77 eV per cell.

(8)
Entry from the Alexandria database: a relaxed TaHI2N crystal (PBE).

It has space group P4/mmm (No. 123), with a = 5.148 Å, b = 5.148 Å, c = 3.144 Å, α = 90.00°, β = 90.00° and γ = 90.00°. The inequivalent atoms are Ta at (0.000, 0.000, 0.000), H at (0.500, 0.500, 0.500), I at (0.000, 0.500, 0.500) and N at (0.500, 0.500, 0.000).

The calculation puts the excess energy over the best structure of this formula in the dataset at 1118 meV/atom. As for the total energy: -19.18 eV per cell.